# 1
Material: NpPbI5
Method: DFT, PBE
State: optimized geometry

Lattice parameters (Å, degrees): 8.228 8.228 12.093 109.22 109.22 85.04
Positions (direct):
Np 0.000 0.500 0.000
Np 0.500 0.000 0.500
Pb 0.073 0.927 0.750
Pb 0.927 0.073 0.250
I 0.182 0.621 0.853
I 0.209 0.260 0.513
I 0.241 0.759 0.250
I 0.260 0.209 0.013
I 0.379 0.818 0.647
I 0.621 0.182 0.353
I 0.740 0.791 0.987
I 0.759 0.241 0.750
I 0.791 0.740 0.487
I 0.818 0.379 0.147

Values from the calculation:
Theoretical density in g cm⁻³: 4.91
E_tot in eV for the cell shown: -58.57
Total moment in μB per atom: 0.57

# 2
Material: NpTlPb2I8
Method: DFT, PBE
State: optimized geometry

Lattice parameters (Å, degrees): 7.451 9.692 7.827 90.00 90.78 90.00
Positions (direct):
Np 0.000 0.000 0.000
Tl 0.000 0.500 0.000
Pb 0.500 0.252 0.500
Pb 0.500 0.748 0.500
I 0.241 0.000 0.672
I 0.251 0.225 0.153
I 0.251 0.775 0.153
I 0.264 0.500 0.637
I 0.736 0.500 0.363
I 0.749 0.225 0.847
I 0.749 0.775 0.847
I 0.759 0.000 0.328

Values from the calculation:
Theoretical density in g cm⁻³: 5.50
E_tot in eV for the cell shown: -43.37
Total moment in μB per atom: 0.33

# 3
Material: NpTlPbI6
Method: DFT, PBE
State: optimized geometry

Lattice parameters (Å, degrees): 8.128 8.128 15.335 90.00 90.00 120.00
Positions (direct):
Np 0.333 0.667 0.250
Np 0.667 0.333 0.750
Tl 0.000 0.000 0.000
Tl 0.000 0.000 0.500
Pb 0.333 0.667 0.750
Pb 0.667 0.333 0.250
I 0.013 0.369 0.130
I 0.013 0.644 0.370
I 0.356 0.369 0.370
I 0.356 0.987 0.130
I 0.369 0.013 0.630
I 0.369 0.356 0.870
I 0.631 0.644 0.130
I 0.631 0.987 0.370
I 0.644 0.013 0.870
I 0.644 0.631 0.630
I 0.987 0.356 0.630
I 0.987 0.631 0.870

Values from the calculation:
Theoretical density in g cm⁻³: 5.34
E_tot in eV for the cell shown: -70.05
Total moment in μB per atom: 0.44

# 4
Material: NpPdI5
Method: DFT, PBE
State: optimized geometry

Lattice parameters (Å, degrees): 8.078 8.078 11.343 109.99 109.99 87.92
Positions (direct):
Np 0.000 0.500 0.000
Np 0.500 0.000 0.500
Pd 0.137 0.863 0.750
Pd 0.863 0.137 0.250
I 0.163 0.166 0.462
I 0.166 0.163 0.962
I 0.177 0.581 0.833
I 0.327 0.673 0.250
I 0.419 0.823 0.667
I 0.581 0.177 0.333
I 0.673 0.327 0.750
I 0.823 0.419 0.167
I 0.834 0.837 0.038
I 0.837 0.834 0.538

Values from the calculation:
Theoretical density in g cm⁻³: 4.99
E_tot in eV for the cell shown: -58.37
Total moment in μB per atom: 0.28

# 5
Material: NpPdI6
Method: DFT, PBE
State: optimized geometry

Lattice parameters (Å, degrees): 6.616 7.762 8.442 63.27 68.82 87.15
Positions (direct):
Np 0.000 0.000 0.000
Pd 0.500 0.500 0.000
I 0.027 0.805 0.375
I 0.290 0.382 0.841
I 0.410 0.855 0.814
I 0.590 0.145 0.186
I 0.710 0.618 0.159
I 0.973 0.195 0.625

Values from the calculation:
Theoretical density in g cm⁻³: 5.13
E_tot in eV for the cell shown: -31.32
Total moment in μB per atom: 0.38
ΔE to the lowest computed polymorph in meV/atom: 43

# 6
Material: NpPdI
Method: DFT, PBE
State: optimized geometry

Lattice parameters (Å, degrees): 3.659 3.668 12.631 98.31 90.21 90.00
Positions (direct):
Np 0.247 0.161 0.322
Np 0.753 0.839 0.678
Pd 0.251 0.279 0.558
Pd 0.749 0.721 0.442
I 0.255 0.418 0.838
I 0.745 0.582 0.162

Values from the calculation:
Theoretical density in g cm⁻³: 9.31
E_tot in eV for the cell shown: -41.53
Total moment in μB per atom: 1.35

# 7
Material: NpPdI6
Method: DFT, PBE
State: optimized geometry

Lattice parameters (Å, degrees): 8.055 12.695 8.219 90.00 119.26 90.00
Positions (direct):
Np 0.000 0.000 0.000
Np 0.500 0.500 0.000
Pd 0.000 0.000 0.500
Pd 0.500 0.500 0.500
I 0.012 0.156 0.724
I 0.012 0.844 0.724
I 0.085 0.500 0.790
I 0.415 0.000 0.210
I 0.488 0.344 0.276
I 0.488 0.656 0.276
I 0.512 0.344 0.724
I 0.512 0.656 0.724
I 0.585 0.000 0.790
I 0.915 0.500 0.210
I 0.988 0.156 0.276
I 0.988 0.844 0.276

Values from the calculation:
Theoretical density in g cm⁻³: 5.00
E_tot in eV for the cell shown: -63.32
Total moment in μB per atom: 0.38
ΔE to the lowest computed polymorph in meV/atom: 0

# 8
Material: Rb2NpPdI6
Method: DFT, PBE
State: optimized geometry

Lattice parameters (Å, degrees): 14.774 14.774 14.774 33.18 33.18 33.18
Positions (direct):
Rb 0.117 0.117 0.117
Rb 0.297 0.297 0.297
Rb 0.703 0.703 0.703
Rb 0.883 0.883 0.883
Np 0.418 0.418 0.418
Np 0.582 0.582 0.582
Pd 0.000 0.000 0.000
Pd 0.500 0.500 0.500
I 0.122 0.629 0.629
I 0.205 0.205 0.714
I 0.205 0.714 0.205
I 0.286 0.795 0.795
I 0.371 0.371 0.878
I 0.371 0.878 0.371
I 0.629 0.122 0.629
I 0.629 0.629 0.122
I 0.714 0.205 0.205
I 0.795 0.286 0.795
I 0.795 0.795 0.286
I 0.878 0.371 0.371

Values from the calculation:
Theoretical density in g cm⁻³: 4.93
E_tot in eV for the cell shown: -76.96
Total moment in μB per atom: 0.29

# 9
Material: PmNpI
Method: DFT, PBE
State: optimized geometry

Lattice parameters (Å, degrees): 3.773 4.180 12.104 90.00 98.19 90.00
Positions (direct):
Pm 0.128 0.250 0.210
Pm 0.872 0.750 0.790
Np 0.353 0.250 0.974
Np 0.647 0.750 0.026
I 0.319 0.250 0.652
I 0.681 0.750 0.348

Values from the calculation:
Theoretical density in g cm⁻³: 8.94
E_tot in eV for the cell shown: -40.53
Total moment in μB per atom: 0.61

# 10
Material: PrNpI
Method: DFT, PBE
State: optimized geometry

Lattice parameters (Å, degrees): 6.625 4.488 13.727 90.00 96.79 90.00
Positions (direct):
Pr 0.037 0.000 0.195
Pr 0.463 0.500 0.805
Pr 0.537 0.500 0.195
Pr 0.963 0.000 0.805
Np 0.177 0.500 0.983
Np 0.323 0.000 0.017
Np 0.677 0.000 0.983
Np 0.823 0.500 0.017
I 0.215 0.500 0.353
I 0.285 0.000 0.647
I 0.715 0.000 0.353
I 0.785 0.500 0.647

Values from the calculation:
Theoretical density in g cm⁻³: 8.27
E_tot in eV for the cell shown: -82.49
Total moment in μB per atom: 0.68

# 11
Material: PrNpI6
Method: DFT, PBE
State: optimized geometry

Lattice parameters (Å, degrees): 7.708 14.331 7.745 90.00 107.93 90.00
Positions (direct):
Pr 0.000 0.000 0.000
Pr 0.500 0.500 0.000
Np 0.000 0.500 0.500
Np 0.500 0.000 0.500
I 0.245 0.349 0.750
I 0.245 0.651 0.750
I 0.250 0.000 0.746
I 0.250 0.500 0.254
I 0.255 0.151 0.250
I 0.255 0.849 0.250
I 0.745 0.151 0.750
I 0.745 0.849 0.750
I 0.750 0.000 0.254
I 0.750 0.500 0.746
I 0.755 0.349 0.250
I 0.755 0.651 0.250

Values from the calculation:
Theoretical density in g cm⁻³: 4.65
E_tot in eV for the cell shown: -71.70
Total moment in μB per atom: 0.50

# 12
Material: Pu2NpI8
Method: DFT, PBE
State: optimized geometry

Lattice parameters (Å, degrees): 9.892 9.892 6.372 90.00 90.00 120.00
Positions (direct):
Pu 0.333 0.667 0.216
Pu 0.667 0.333 0.784
Np 0.000 0.000 0.000
I 0.155 0.309 0.253
I 0.155 0.845 0.253
I 0.309 0.155 0.747
I 0.333 0.667 0.723
I 0.667 0.333 0.277
I 0.691 0.845 0.253
I 0.845 0.155 0.747
I 0.845 0.691 0.747

Values from the calculation:
Theoretical density in g cm⁻³: 5.35
E_tot in eV for the cell shown: -63.52
Total moment in μB per atom: 1.36

# 13
Material: RbPuNpI6
Method: DFT, PBE
State: optimized geometry

Lattice parameters (Å, degrees): 8.095 8.095 16.322 90.00 90.00 120.00
Positions (direct):
Rb 0.000 0.000 0.000
Rb 0.000 0.000 0.500
Pu 0.333 0.667 0.250
Pu 0.667 0.333 0.750
Np 0.333 0.667 0.750
Np 0.667 0.333 0.250
I 0.003 0.374 0.636
I 0.003 0.629 0.864
I 0.371 0.374 0.864
I 0.371 0.997 0.636
I 0.374 0.003 0.136
I 0.374 0.371 0.364
I 0.626 0.629 0.636
I 0.626 0.997 0.864
I 0.629 0.003 0.364
I 0.629 0.626 0.136
I 0.997 0.371 0.136
I 0.997 0.626 0.364

Values from the calculation:
Theoretical density in g cm⁻³: 4.76
E_tot in eV for the cell shown: -94.75
Total moment in μB per atom: 1.11

# 14
Material: PuNpTlI6
Method: DFT, PBE
State: optimized geometry

Lattice parameters (Å, degrees): 8.013 8.013 15.458 90.00 90.00 120.00
Positions (direct):
Pu 0.333 0.667 0.250
Pu 0.667 0.333 0.750
Np 0.333 0.667 0.750
Np 0.667 0.333 0.250
Tl 0.000 0.000 0.000
Tl 0.000 0.000 0.500
I 0.003 0.367 0.870
I 0.003 0.636 0.630
I 0.364 0.367 0.630
I 0.364 0.997 0.870
I 0.367 0.003 0.370
I 0.367 0.364 0.130
I 0.633 0.636 0.870
I 0.633 0.997 0.630
I 0.636 0.003 0.130
I 0.636 0.633 0.370
I 0.997 0.364 0.370
I 0.997 0.633 0.130

Values from the calculation:
Theoretical density in g cm⁻³: 5.59
E_tot in eV for the cell shown: -94.02
Total moment in μB per atom: 1.11

# 15
Material: RbNp2I6
Method: DFT, PBE
State: optimized geometry

Lattice parameters (Å, degrees): 8.084 8.084 8.184 90.00 90.00 120.00
Positions (direct):
Rb 0.000 0.000 0.000
Np 0.333 0.667 0.500
Np 0.667 0.333 0.500
I 0.000 0.370 0.726
I 0.000 0.630 0.274
I 0.370 0.000 0.726
I 0.370 0.370 0.274
I 0.630 0.000 0.274
I 0.630 0.630 0.726

Values from the calculation:
Theoretical density in g cm⁻³: 4.74
E_tot in eV for the cell shown: -44.72
Total moment in μB per atom: 1.00

# 16
Material: RbNpI5
Method: DFT, PBE
State: optimized geometry

Lattice parameters (Å, degrees): 8.478 8.478 12.191 109.50 109.50 67.31
Positions (direct):
Rb 0.033 0.967 0.750
Rb 0.967 0.033 0.250
Np 0.500 0.500 0.000
Np 0.500 0.500 0.500
I 0.118 0.694 0.987
I 0.165 0.421 0.383
I 0.306 0.882 0.513
I 0.421 0.165 0.883
I 0.438 0.562 0.750
I 0.562 0.438 0.250
I 0.579 0.835 0.117
I 0.694 0.118 0.487
I 0.835 0.579 0.617
I 0.882 0.306 0.013

Values from the calculation:
Theoretical density in g cm⁻³: 4.29
E_tot in eV for the cell shown: -56.73
Total moment in μB per atom: 0.43

# 17
Material: Rb2NpI6
Method: DFT, PBE
State: optimized geometry

Lattice parameters (Å, degrees): 8.149 8.149 15.642 90.00 90.00 90.00
Positions (direct):
Rb 0.000 0.000 0.167
Rb 0.000 0.000 0.833
Rb 0.500 0.500 0.333
Rb 0.500 0.500 0.667
Np 0.000 0.000 0.500
Np 0.500 0.500 0.000
I 0.183 0.183 0.362
I 0.183 0.183 0.638
I 0.239 0.239 0.000
I 0.261 0.739 0.500
I 0.317 0.683 0.138
I 0.317 0.683 0.862
I 0.683 0.317 0.138
I 0.683 0.317 0.862
I 0.739 0.261 0.500
I 0.761 0.761 0.000
I 0.817 0.817 0.362
I 0.817 0.817 0.638

Values from the calculation:
Theoretical density in g cm⁻³: 3.74
E_tot in eV for the cell shown: -68.14
Total moment in μB per atom: 0.33

# 18
Material: Rb4NpI7
Method: DFT, PBE
State: optimized geometry

Lattice parameters (Å, degrees): 9.804 9.804 12.502 104.59 104.59 36.70
Positions (direct):
Rb 0.013 0.013 0.205
Rb 0.256 0.256 0.833
Rb 0.744 0.744 0.167
Rb 0.987 0.987 0.795
Np 0.500 0.500 0.500
I 0.000 0.000 0.500
I 0.145 0.145 0.039
I 0.380 0.380 0.275
I 0.384 0.384 0.640
I 0.616 0.616 0.360
I 0.620 0.620 0.725
I 0.855 0.855 0.961

Values from the calculation:
Theoretical density in g cm⁻³: 3.52
E_tot in eV for the cell shown: -42.81
Total moment in μB per atom: 0.33

# 19
Material: RbNp3I8
Method: DFT, PBE
State: optimized geometry

Lattice parameters (Å, degrees): 10.350 10.350 10.350 50.48 50.48 50.48
Positions (direct):
Rb 0.000 0.000 0.000
Np 0.000 0.000 0.500
Np 0.000 0.500 0.000
Np 0.500 0.000 0.000
I 0.237 0.237 0.237
I 0.237 0.733 0.733
I 0.267 0.267 0.763
I 0.267 0.763 0.267
I 0.733 0.237 0.733
I 0.733 0.733 0.237
I 0.763 0.267 0.267
I 0.763 0.763 0.763

Values from the calculation:
Theoretical density in g cm⁻³: 4.95
E_tot in eV for the cell shown: -62.64
Total moment in μB per atom: 1.17

# 20
Material: Rb3NpI7
Method: DFT, PBE
State: optimized geometry

Lattice parameters (Å, degrees): 8.634 8.634 9.521 116.83 116.83 83.32
Positions (direct):
Rb 0.000 0.000 0.000
Rb 0.298 0.736 0.597
Rb 0.736 0.298 0.597
Np 0.558 0.558 0.143
I 0.201 0.545 0.840
I 0.367 0.367 0.234
I 0.387 0.878 0.321
I 0.545 0.201 0.840
I 0.709 0.709 0.988
I 0.875 0.875 0.521
I 0.878 0.387 0.321

Values from the calculation:
Theoretical density in g cm⁻³: 4.08
E_tot in eV for the cell shown: -39.06
Total moment in μB per atom: 0.27

| no. | formation energy from raw total energies (eV per formula unit) |
| --- | --- |
| 1 | -4.9 |
| 2 | -8.2 |
| 3 | -6.7 |
| 4 | -3.3 |
| 5 | -3.9 |
| 6 | -1.1 |
| 7 | -4.2 |
| 8 | -9.1 |
| 9 | -1.0 |
| 10 | -1.4 |
| 11 | -8.8 |
| 12 | -9.5 |
| 13 | -9.8 |
| 14 | -8.1 |
| 15 | -8.6 |
| 16 | -6.7 |
| 17 | -9.9 |
| 18 | -15.1 |
| 19 | -10.4 |
| 20 | -12.4 |